Entry 1:
Density functional theory data (PBE-GGA) for a relaxed CeThSn2Rh5 crystal.

a b c (Å): 4.378 4.378 9.238
angles (deg): 90.00 90.00 90.00
Space group P4/mmm (No. 123)
Inequivalent atoms, fractional coordinates:
Ce  0.000  0.000  0.000
Th  0.000  0.000  0.500
Sn  0.500  0.500  0.350
Rh  0.000  0.500  0.205
Rh  0.500  0.500  0.000

Computed properties:
- DOS at the Fermi energy (states/eV/cell) = 7.21
- total energy (eV/atom) = -7.02



Entry 2:
Density functional theory data (PBE-GGA) for a relaxed NbTe2PtI crystal.

a b c (Å): 5.280 5.280 5.390
angles (deg): 90.00 90.00 90.00
Space group P4/mmm (No. 123)
Inequivalent atoms, fractional coordinates:
Nb  0.000  0.000  0.000
Te  0.000  0.500  0.500
Pt  0.500  0.500  0.500
I  0.500  0.500  0.000

Computed properties:
- formation energy (no corrections) (eV per atom) = 0.792
- DOS at the Fermi energy (states/eV/cell) = 4.60